Material: W2AuClO
Method: DFT, PBE+U
State: relaxed

a b c (Å): 4.282 4.282 5.963
angles (deg): 90.00 90.00 90.00
Space group P4/mmm (No. 123)
One atom of each set of equivalent atoms:
W1 0.000 0.500 0.000
Au1 0.000 0.000 0.500
Cl1 0.500 0.500 0.500
O1 0.000 0.000 0.000

Summary:
For the electronic total energy, the calculation gives -4.244 eV per atom. The value obtained for the total magnetic moment is 7.512 μB per formula unit.